No. 1
Density functional theory data (PBE+U) for a relaxed structure of BaCoP2O7.

a = 5.3298 Å, b = 7.5438 Å, c = 7.1362 Å
α = 101.95°, β = 85.09°, γ = 89.08°
Closest atoms and distances in Å follow each position.
Fractional positions:
Ba 0.2113 0.0698 0.2279  9 O 2.70-2.95
Ba 0.7887 0.9302 0.7721  9 O 2.70-2.95
Co 0.1979 0.6040 0.3805  5 O 1.99-2.18
Co 0.8021 0.3960 0.6195  5 O 1.99-2.18
O 0.7781 0.2622 0.0033  1 P 1.50
O 0.7303 0.5984 0.1198  2 P 1.62
O 0.7130 0.9385 0.1526  1 P 1.52
O 0.4392 0.3962 0.2745  1 P 1.54
O 0.9005 0.4078 0.3366  1 P 1.57
O 0.9353 0.8025 0.3888  1 P 1.54
O 0.4579 0.7996 0.3978  1 P 1.53
O 0.5421 0.2004 0.6022  1 P 1.53
O 0.0647 0.1975 0.6112  1 P 1.54
O 0.0995 0.5922 0.6634  1 P 1.57
O 0.5608 0.6038 0.7255  1 P 1.54
O 0.2870 0.0615 0.8474  1 P 1.52
O 0.2697 0.4016 0.8802  2 P 1.62
O 0.2219 0.7378 0.9967  1 P 1.50
P 0.7085 0.4034 0.1816  4 O 1.50-1.62
P 0.7056 0.7919 0.2699  4 O 1.52-1.62
P 0.2944 0.2081 0.7301  4 O 1.52-1.62
P 0.2915 0.5966 0.8184  4 O 1.50-1.62

Calculated values
As for the spin magnetization: 2.0 μB/cell. The calculation puts the calculated density at 4399 kg/m3. The value obtained for the uncorrected energy is -77.1 eV/f.u.

***

No. 2
Density functional theory data (PBE+U) for a relaxed structure of BaCo2P2O8.

a = 5.2717 Å, b = 5.2717 Å, c = 8.1504 Å
α = 90.00°, β = 90.00°, γ = 120.00°
Closest atoms and distances in Å follow each position.
Fractional positions:
Ba 0.0000 0.0000 0.0000  6 O 2.70
Co 0.6667 0.3333 0.3112  4 O 1.90-1.97
Co 0.3333 0.6667 0.6888  4 O 1.90-1.97
O 0.0348 0.4237 0.2011  1 P 1.56
O 0.5763 0.6112 0.2011  1 P 1.56
O 0.3888 0.9652 0.2011  1 P 1.56
O 0.3333 0.6667 0.4559  1 P 1.51
O 0.6667 0.3333 0.5441  1 P 1.51
O 0.6112 0.0348 0.7989  1 P 1.56
O 0.4237 0.3888 0.7989  1 P 1.56
O 0.9652 0.5763 0.7989  1 P 1.56
P 0.3333 0.6667 0.2706  4 O 1.51-1.56
P 0.6667 0.3333 0.7294  4 O 1.51-1.56

Calculated values
As for the spin magnetization: 6.0 μB/cell. The calculation puts the calculated density at 3768 kg/m3. The value obtained for the uncorrected energy is -90.7 eV/f.u.

***

No. 3
Density functional theory data (PBE+U) for a relaxed structure of Ba2CoP2O8.

a = 5.2835 Å, b = 8.8333 Å, c = 16.9148 Å
α = 90.00°, β = 107.24°, γ = 90.00°
Closest atoms and distances in Å follow each position.
Fractional positions:
Ba 0.8127 0.7992 0.0198  6 O 2.63-2.83
Ba 0.9736 0.1549 0.2300  7 O 2.67-2.89
Ba 0.0264 0.6549 0.2700  7 O 2.67-2.89
Ba 0.1873 0.2992 0.4802  6 O 2.63-2.83
Ba 0.8127 0.7008 0.5198  6 O 2.63-2.83
Ba 0.9736 0.3451 0.7300  7 O 2.67-2.89
Ba 0.0264 0.8451 0.7700  7 O 2.67-2.89
Ba 0.1873 0.2008 0.9802  6 O 2.63-2.83
Co 0.4050 0.5125 0.1351  5 O 2.04-2.10
Co 0.5950 0.0125 0.3649  5 O 2.04-2.10
Co 0.4050 0.9875 0.6351  5 O 2.04-2.10
Co 0.5950 0.4875 0.8649  5 O 2.04-2.10
O 0.2236 0.5972 0.0158  1 P 1.53
O 0.2440 0.9721 0.0870  1 P 1.55
O 0.6206 0.2953 0.1013  1 P 1.55
O 0.7598 0.5649 0.1099  1 P 1.56
O 0.1036 0.3592 0.1247  1 P 1.57
O 0.7139 0.8878 0.1659  1 P 1.55
O 0.3103 0.7274 0.1686  1 P 1.56
O 0.3934 0.9760 0.2432  1 P 1.56
O 0.6066 0.4760 0.2568  1 P 1.56
O 0.6897 0.2274 0.3314  1 P 1.56
O 0.2861 0.3878 0.3341  1 P 1.55
O 0.8964 0.8592 0.3753  1 P 1.57
O 0.2402 0.0649 0.3901  1 P 1.56
O 0.3794 0.7953 0.3987  1 P 1.55
O 0.7560 0.4721 0.4130  1 P 1.55
O 0.7764 0.0972 0.4842  1 P 1.53
O 0.2236 0.9028 0.5158  1 P 1.53
O 0.2440 0.5279 0.5870  1 P 1.55
O 0.6206 0.2047 0.6013  1 P 1.55
O 0.7598 0.9351 0.6099  1 P 1.56
O 0.1036 0.1408 0.6247  1 P 1.57
O 0.7139 0.6122 0.6659  1 P 1.55
O 0.3103 0.7726 0.6686  1 P 1.56
O 0.3934 0.5240 0.7432  1 P 1.56
O 0.6066 0.0240 0.7568  1 P 1.56
O 0.6897 0.2726 0.8314  1 P 1.56
O 0.2861 0.1122 0.8341  1 P 1.55
O 0.8964 0.6408 0.8753  1 P 1.57
O 0.2402 0.4351 0.8901  1 P 1.56
O 0.3794 0.7047 0.8987  1 P 1.55
O 0.7560 0.0279 0.9130  1 P 1.55
O 0.7764 0.4028 0.9842  1 P 1.53
P 0.8125 0.4069 0.0772  4 O 1.53-1.57
P 0.4195 0.8907 0.1654  4 O 1.55-1.56
P 0.5805 0.3907 0.3346  4 O 1.55-1.56
P 0.1875 0.9069 0.4228  4 O 1.53-1.57
P 0.8125 0.0931 0.5772  4 O 1.53-1.57
P 0.4195 0.6093 0.6654  4 O 1.55-1.56
P 0.5805 0.1093 0.8346  4 O 1.55-1.56
P 0.1875 0.5931 0.9228  4 O 1.53-1.57

Calculated values
As for the spin magnetization: 12.0 μB/cell. The calculation puts the calculated density at 4612 kg/m3. The value obtained for the uncorrected energy is -92.0 eV/f.u.

***

Calculated volume? In order: 12.70; 15.09; 14.50 Å³/atom.